No. 1
First-principles (GGA-PBE) data for crystalline Ho6ErMg2 at its relaxed geometry, as listed in Alexandria via LeMat-Bulk.

Cell lengths 6.5958, 6.5958, 21.5735 Å; angles 90.00, 90.00, 120.00 degrees
With the nearest neighbours (Å) after each atom.
Space group R3 (No. 146, hexagonal axes)
Unique sites:
Ho: 0.0028 0.5521 0.0000 x9  2 Mg 3.23-3.36, 1 Er 3.25, 5 Ho 3.32-3.45
Ho: 0.1264 0.3359 0.1760 x9  2 Mg 3.18-3.52, 1 Er 3.25, 5 Ho 3.31-3.45
Er: 0.0000 0.0000 0.7869 x3  1 Mg 3.00, 6 Ho 3.25
Mg: 0.0000 0.0000 0.0591 x3  1 Mg 2.87, 3 Ho 3.18
Mg: 0.0000 0.0000 0.9261 x3  1 Mg 2.87, 1 Er 3.00



No. 2
First-principles (GGA-PBE) data for crystalline Ho3ErMg7 at its relaxed geometry, as listed in Alexandria via LeMat-Bulk.

Output
energy relative to the lowest polymorph listed for this composition	0	meV per atom

Cell lengths 3.2902, 22.4155, 16.3014 Å; angles 90.00, 90.00, 90.00 degrees
With the nearest neighbours (Å) after each atom.
Space group Cmcm (No. 63)
Unique sites:
Ho: 0.0000 0.1178 0.0332 x8  2 Ho 3.29, 9 Mg 3.30-3.62
Ho: 0.0000 0.2376 0.7500 x4  2 Ho 3.29, 9 Mg 3.29-3.38
Er: 0.0000 0.0139 0.7500 x4  10 Mg 3.17-3.34, 2 Er 3.29
Mg: 0.0000 0.2620 0.0751 x8  3 Mg 2.87-3.00
Mg: 0.0000 0.3754 0.1576 x8  3 Mg 2.87-3.01
Mg: 0.0000 0.3845 0.7500 x4  2 Mg 3.29, 1 Ho 3.29, 2 Er 3.33
Mg: 0.0000 0.4937 0.0843 x8  2 Mg 2.76-2.91



No. 3
First-principles (GGA-PBE) data for crystalline HoEr2Mg9 at its relaxed geometry, as listed in Alexandria via LeMat-Bulk.

Output
energy relative to the lowest polymorph listed for this composition	34	meV per atom

Cell lengths 6.0184, 6.0184, 28.9506 Å; angles 90.00, 90.00, 120.00 degrees
With the nearest neighbours (Å) after each atom.
Space group R-3m (No. 166, hexagonal axes)
Unique sites:
Ho: 0.0000 0.0000 0.0000 x3  18 Mg 3.47-3.88
Er: 0.0000 0.0000 0.1434 x6  12 Mg 3.46-3.54, 3 Er 3.73
Mg: 0.0000 0.0000 0.3341 x6  6 Mg 2.99-3.00
Mg: 0.0000 0.0000 0.5000 x3  6 Mg 2.97
Mg: 0.0053 0.5026 0.9156 x18  7 Mg 2.96-3.06



no.,energy relative to the elements (meV per atom)
1,193
2,97
3,-18